This record from Alexandria describes a geometry-optimized Sc2AsRu structure. The functional is GGA-PBE.

## Properties
* DFT formation energy: -0.406 eV/atom
* V: 18.73 Å³ per atom
* DOS at the Fermi energy: 1.142 states/eV per atom
* symmetry: No. 99

a b c (Å): 3.134 3.134 7.631
angles (deg): 90.00 90.00 90.00
Sites, in units of the cell vectors:
As: 0.000 0.000 0.544
Ru: 0.500 0.500 0.712
Sc: 0.000 0.000 0.954
Sc: 0.500 0.500 0.291